The following is a meta-GGA SCAN calculation of Zr2WCl at its PBEsol-relaxed geometry, from the Alexandria database.

## Properties
Spin magnetization: 0.00 μB per formula unit
Relative energy among the computed polymorphs: 165 meV per atom
Formation energy without anion corrections: -0.38 eV/atom
V: 79.19 Å³ per cell

CIF file:
```
data_Zr2WCl
_chemical_formula_sum 'Zr2 W1 Cl1'
_cell_length_a 3.224
_cell_length_b 3.224
_cell_length_c 7.619
_cell_angle_alpha 90.00
_cell_angle_beta 90.00
_cell_angle_gamma 90.00
_symmetry_space_group_name_H-M 'P 4/m m m'
_symmetry_Int_Tables_number 123
_symmetry_space_group_name_Hall '-P 4 2'
loop_
_atom_site_label
_atom_site_type_symbol
_atom_site_fract_x
_atom_site_fract_y
_atom_site_fract_z
_atom_site_occupancy
Zr1 Zr 0.000 0.000 0.213 1
W1 W 0.500 0.500 0.000 1
Cl1 Cl 0.500 0.500 0.500 1
```